FeAgPO2 | PBE with a Hubbard U | optimized geometry Values from VASP.

Cell and atoms, written as Quantum ESPRESSO input:
```
&SYSTEM
  ibrav = 0, nat = 5, ntyp = 4
/
ATOMIC_SPECIES
O 16.00 O.upf
P 30.97 P.upf
Fe 55.84 Fe.upf
Ag 107.87 Ag.upf
CELL_PARAMETERS angstrom
-1.737 -2.700 1.834
-0.736 -1.701 -3.200
4.614 -2.710 0.379
ATOMIC_POSITIONS crystal
O 0.000 0.500 0.000
O 0.500 0.000 0.000
P 0.000 0.000 0.500
Fe 0.000 0.000 0.000
Ag 0.500 0.500 0.500
```

Values from the calculation:
The calculation puts the offset from the most stable computed form at 0 meV/atom. The calculation puts the electronic total energy at -0.1783 hartree per atom. The calculation puts the spin magnetization at 3.948 μB/cell.